Record 1
CsBa4Al2 | Alexandria via LeMat-Bulk | GGA-PBE | relaxed; energy = -13.2 eV for the cell shown
1.0
-0.709 6.314 1.846
-4.269 0.971 -4.961
-8.794 1.473 3.443
Cs Ba Al
1 4 2
direct
0.000 0.000 0.000
0.776 0.776 0.447
0.224 0.224 0.553
0.000 0.500 0.000
0.500 0.000 0.000
0.580 0.580 0.839
0.420 0.420 0.161


Record 2
CsBaAl3 | Alexandria via LeMat-Bulk | GGA-PBE | relaxed; excess energy over the best structure of this formula in the dataset = 0 meV per atom
1.0
6.304 0.000 0.000
0.000 6.304 0.000
0.000 0.000 6.304
Cs Ba Al
1 1 3
direct
0.500 0.500 0.500
0.000 0.000 0.000
0.000 0.500 0.000
0.000 0.000 0.500
0.500 0.000 0.000


Record 3
CsBa2Al2 | Alexandria via LeMat-Bulk | GGA-PBE | relaxed; excess energy over the best structure of this formula in the dataset = 16 meV per atom
1.0
-2.976 -9.456 -2.065
9.457 -2.380 -2.729
0.818 -1.082 3.778
Cs Ba Al
2 4 4
direct
0.000 0.000 0.000
0.500 0.500 0.000
0.355 0.855 0.000
0.855 0.645 0.000
0.645 0.145 0.000
0.145 0.355 0.000
0.146 0.646 0.500
0.646 0.854 0.500
0.854 0.354 0.500
0.354 0.146 0.500